Density functional theory data (PBE) for crystalline NaOs3S at its relaxed geometry.

For the energy above the most stable polymorph in this dataset, the calculation gives 0.000 eV/atom. The total moment comes out at 0.131 μB per atom. For the density of states at the Fermi level, the calculation gives 0.879 states/eV per atom. Its formation energy (no corrections) is 1117 meV per atom.

The space group is Pm-3m (No. 221) and the conventional cell measures 4.3846, 4.3846 and 4.3846 Å, with angles of 90.00, 90.00 and 90.00 degrees. Symmetry generates all atoms from Na at (0.0000, 0.0000, 0.0000), Os at (0.0000, 0.5000, 0.5000) and S at (0.5000, 0.5000, 0.5000).

=====

Density functional theory data (PBE) for crystalline YMn2Cr at its relaxed geometry.

The calculated formation energy comes out at 0.52 eV/atom. For the energy above the most stable polymorph in this dataset, the calculation gives 0.326 eV/atom. The total moment comes out at 0.000 μB per atom. For the density of states at the Fermi level, the calculation gives 1.165 states/eV per atom.

The space group is Fm-3m (No. 225) and the conventional cell measures 6.1287, 6.1287 and 6.1287 Å, with angles of 90.00, 90.00 and 90.00 degrees. Symmetry generates all atoms from Y at (0.0000, 0.0000, 0.0000), Mn at (0.2500, 0.2500, 0.2500) and Cr at (0.0000, 0.0000, 0.5000).

=====

Look up the total moment of the second one.
0.000 μB per atom